Entry from the Alexandria database: a PBEsol-optimized structure of LuMnO3 (meta-GGA SCAN).

a = 5.546 Å, b = 7.418 Å, c = 5.126 Å
α = 90.00°, β = 90.00°, γ = 90.00°
Positions (direct):
Lu 0.079 0.250 0.023
Lu 0.421 0.750 0.523
Lu 0.579 0.250 0.477
Lu 0.921 0.750 0.977
Mn 0.000 0.000 0.500
Mn 0.000 0.500 0.500
Mn 0.500 0.000 0.000
Mn 0.500 0.500 0.000
O 0.044 0.750 0.377
O 0.188 0.561 0.809
O 0.188 0.939 0.809
O 0.312 0.061 0.309
O 0.312 0.439 0.309
O 0.456 0.250 0.877
O 0.544 0.750 0.123
O 0.688 0.561 0.691
O 0.688 0.939 0.691
O 0.812 0.061 0.191
O 0.812 0.439 0.191
O 0.956 0.250 0.623

Properties
Its density of states at the Fermi level is 0.63 states/eV/f.u. As for the raw total energy: -21.589 eV per atom. For the formation energy (no corrections), the calculation gives -3.131 eV/atom.